Record 1
{
  "formula": "LaW",
  "functional": "PBE-GGA",
  "state": "optimized geometry",
  "cell": [[-1.952, -2.090, -1.402], [3.344, -2.317, -1.200], [-1.613, -5.021, 5.202]],
  "species": ["W", "La", "La", "W"],
  "fractional_positions": [[0.732, 0.500, 0.699], [0.954, 0.000, 0.960], [0.296, 0.500, 0.290], [0.518, 0.000, 0.551]],
  "sg": "P2_1/m, No. 11",
  "polymorph_energy_kj_per_mol_atoms": 19.4,
  "energy_ev_per_atom": -8.40,
  "formation_enthalpy_0k_ev_per_atom": 0.545
}

***

Record 2
{
  "formula": "AcLa3PrDy",
  "functional": "PBE-GGA",
  "state": "optimized geometry",
  "cell": [[-2.144, 1.359, -5.437], [-8.485, -4.227, 5.601], [-1.566, 6.572, 2.261]],
  "species": ["La", "La", "Dy", "Ac", "La", "La", "Pr", "La", "Dy", "Pr", "Ac", "La"],
  "fractional_positions": [[0.485, 0.970, 0.252], [0.219, 0.437, 0.282], [0.641, 0.282, 0.493], [0.351, 0.702, 0.967], [0.781, 0.563, 0.718], [0.515, 0.030, 0.748], [0.057, 0.114, 0.279], [0.840, 0.681, 0.252], [0.359, 0.718, 0.507], [0.943, 0.886, 0.721], [0.649, 0.298, 0.033], [0.160, 0.319, 0.748]],
  "sg": "C2/m, No. 12",
  "energy_ev_per_atom": -4.55,
  "formation_enthalpy_0k_ev_per_atom": 0.161
}

***

Record 3
{
  "formula": "Dy3Ho3ScSe8",
  "functional": "PBE-GGA",
  "state": "optimized geometry",
  "cell": [[8.075, 0.000, 0.000], [-4.038, 6.994, -0.024], [0.000, -4.640, 6.614]],
  "species": ["Sc", "Se", "Se", "Se", "Se", "Se", "Se", "Ho", "Ho", "Dy", "Dy", "Dy", "Ho", "Se", "Se"],
  "fractional_positions": [[0.000, 0.000, 0.500], [0.749, 0.499, 0.748], [0.753, 0.999, 0.745], [0.246, 0.999, 0.745], [0.247, 0.001, 0.255], [0.754, 0.507, 0.255], [0.246, 0.493, 0.745], [0.500, 0.000, 0.500], [0.500, 0.500, 0.500], [0.500, 0.500, 0.000], [0.000, 0.000, 0.000], [0.000, 0.500, 0.000], [0.000, 0.500, 0.500], [0.754, 0.001, 0.255], [0.251, 0.501, 0.252]],
  "raw_formation_energy_ev_per_atom": -1.80,
  "sg": "R-3m, No. 166",
  "energy_ev_per_atom": -5.92
}

***

Record 4
{
  "formula": "Pm14NdSc",
  "functional": "PBE-GGA",
  "state": "optimized geometry",
  "cell": [[7.199, 0.965, 0.000], [-0.966, 7.198, 0.000], [0.000, 0.000, 10.246]],
  "species": ["Pm", "Nd", "Pm", "Pm", "Pm", "Pm", "Pm", "Pm", "Pm", "Pm", "Pm", "Pm", "Pm", "Pm", "Sc", "Pm"],
  "fractional_positions": [[0.875, 0.625, 0.000], [0.375, 0.625, 0.000], [0.375, 0.125, 0.000], [0.122, 0.878, 0.246], [0.875, 0.625, 0.500], [0.628, 0.372, 0.753], [0.375, 0.125, 0.500], [0.875, 0.125, 0.500], [0.375, 0.625, 0.500], [0.122, 0.372, 0.753], [0.122, 0.878, 0.754], [0.122, 0.372, 0.247], [0.628, 0.878, 0.753], [0.628, 0.878, 0.247], [0.875, 0.125, 0.000], [0.628, 0.372, 0.247]],
  "sg": "P4/mmm, No. 123",
  "energy_ev_per_atom": -4.83,
  "formation_enthalpy_0k_ev_per_atom": 0.022
}

***

Record 5
{
  "formula": "Er5UN6",
  "functional": "PBE-GGA",
  "state": "optimized geometry",
  "cell": [[-2.332, 2.754, -4.698], [1.375, -2.996, -4.925], [-3.597, -4.279, -1.966]],
  "species": ["U", "N", "Er", "N", "N", "Er", "Er", "N", "N", "Er", "N", "Er"],
  "fractional_positions": [[0.000, 0.000, 0.000], [0.757, 0.400, 0.681], [0.000, 0.666, 0.667], [0.757, 0.081, 0.319], [0.243, 0.919, 0.681], [0.500, 0.832, 0.336], [0.500, 0.500, 0.000], [0.240, 0.238, 0.000], [0.243, 0.600, 0.319], [0.500, 0.168, 0.664], [0.760, 0.762, 0.000], [0.000, 0.334, 0.333]],
  "raw_formation_energy_ev_per_atom": -1.73,
  "sg": "C2/m, No. 12",
  "energy_ev_per_atom": -8.73
}

***

Record 6
{
  "formula": "ThSi2TcPd",
  "functional": "PBE-GGA",
  "state": "optimized geometry",
  "cell": [[-4.039, -0.569, -0.957], [-0.017, -3.570, 2.193], [0.678, 4.638, 3.555]],
  "species": ["Th", "Si", "Si", "Tc", "Pd"],
  "fractional_positions": [[0.000, 0.000, 0.000], [0.376, 0.376, 0.753], [0.624, 0.624, 0.247], [0.750, 0.250, 0.500], [0.250, 0.750, 0.500]],
  "raw_formation_energy_ev_per_atom": -0.81,
  "sg": "I-4m2, No. 119",
  "energy_ev_per_atom": -7.58
}

***

Record 7
{
  "formula": "SrCaIn",
  "functional": "PBE-GGA",
  "state": "optimized geometry",
  "cell": [[7.458, -0.091, -0.070], [2.219, 7.607, -1.120], [2.215, 0.458, 7.677]],
  "species": ["Sr", "In", "Ca", "In", "In", "Ca", "Ca", "Ca", "Sr", "Sr", "Sr", "In"],
  "fractional_positions": [[0.283, 0.679, 0.929], [0.007, 0.999, 0.748], [0.730, 0.817, 0.067], [0.993, 0.001, 0.252], [0.994, 0.501, 0.751], [0.270, 0.183, 0.933], [0.730, 0.317, 0.568], [0.270, 0.683, 0.432], [0.717, 0.321, 0.071], [0.284, 0.179, 0.429], [0.716, 0.821, 0.571], [0.006, 0.499, 0.249]],
  "sg": "P-1, No. 2",
  "energy_ev_per_atom": -2.45,
  "formation_enthalpy_0k_ev_per_atom": -0.308
}

***

Record 8
{
  "formula": "RbNaSr2Se",
  "functional": "PBE-GGA",
  "state": "optimized geometry",
  "cell": [[6.061, 0.000, 0.000], [0.000, 6.061, 0.000], [0.000, 0.000, 6.887]],
  "species": ["Sr", "Na", "Sr", "Se", "Rb"],
  "fractional_positions": [[0.000, 0.500, 0.000], [0.500, 0.500, 0.500], [0.500, 0.000, 0.000], [0.000, 0.000, 0.000], [0.000, 0.000, 0.500]],
  "raw_formation_energy_ev_per_atom": -0.63,
  "sg": "P4/mmm, No. 123",
  "energy_ev_per_atom": -2.45
}

***

Record 9
{
  "formula": "Nb2ZnPt2",
  "functional": "PBE-GGA",
  "state": "optimized geometry",
  "cell": [[-2.280, -3.058, 6.854], [7.188, -2.949, 1.076], [0.786, 2.404, 1.334]],
  "species": ["Zn", "Nb", "Nb", "Pt", "Pt", "Nb", "Zn", "Pt", "Nb", "Pt"],
  "fractional_positions": [[0.000, 0.000, 0.000], [0.328, 0.172, 0.500], [0.172, 0.672, 0.500], [0.625, 0.125, 0.000], [0.375, 0.875, 0.000], [0.828, 0.328, 0.500], [0.500, 0.500, 0.000], [0.125, 0.375, 0.000], [0.672, 0.828, 0.500], [0.875, 0.625, 0.000]],
  "sg": "P4/mbm, No. 127",
  "energy_ev_per_atom": -7.08,
  "formation_enthalpy_0k_ev_per_atom": -0.378
}

***

Record 10
{
  "formula": "Nd3Hg2Pd2",
  "functional": "PBE-GGA",
  "state": "optimized geometry",
  "cell": [[4.044, 0.000, 0.537], [0.000, 3.819, 0.000], [0.510, 0.000, 11.662]],
  "species": ["Pd", "Hg", "Pd", "Hg", "Nd", "Nd", "Nd"],
  "fractional_positions": [[0.711, 0.500, 0.578], [0.581, 0.500, 0.837], [0.289, 0.500, 0.422], [0.419, 0.500, 0.163], [0.832, 0.000, 0.337], [0.000, 0.000, 0.000], [0.168, 0.000, 0.663]],
  "sg": "Cmmm, No. 65",
  "energy_ev_per_atom": -4.26,
  "formation_enthalpy_0k_ev_per_atom": -0.645
}

***

Record 11
{
  "formula": "Al2FeRe",
  "functional": "PBE-GGA",
  "state": "optimized geometry",
  "cell": [[-0.670, 0.900, -3.112], [3.504, -1.903, -1.305], [-2.027, -3.364, -0.537]],
  "species": ["Re", "Fe", "Al", "Al"],
  "fractional_positions": [[0.000, 0.500, 0.500], [0.500, 0.000, 0.500], [0.000, 0.000, 0.000], [0.500, 0.500, 0.000]],
  "sg": "Pmmm, No. 47",
  "polymorph_energy_kj_per_mol_atoms": 5.1,
  "energy_ev_per_atom": -7.22,
  "formation_enthalpy_0k_ev_per_atom": -0.126
}

***

Record 12
{
  "formula": "DyTh2Fe",
  "functional": "PBE-GGA",
  "state": "optimized geometry",
  "cell": [[3.858, 0.000, 0.000], [1.929, 3.341, 0.000], [1.929, 1.114, 8.796]],
  "species": ["Dy", "Fe", "Th", "Th"],
  "fractional_positions": [[0.500, 0.500, 0.499], [0.665, 0.665, 0.004], [0.058, 0.058, 0.826], [0.276, 0.276, 0.172]],
  "sg": "R3m, No. 160",
  "polymorph_energy_kj_per_mol_atoms": 11.0,
  "energy_ev_per_atom": -6.92,
  "formation_enthalpy_0k_ev_per_atom": 0.052
}